[1]
Compound: NdBePt2
Source: Alexandria via LeMat-Bulk
Functional: PBE-GGA
Structure: optimized geometry

Cell and atoms, written as POSCAR:
```
NdBePt2
1.0
-4.3354 2.5956 -2.0729
-1.5548 -0.8641 -5.1663
-5.2930 -2.6636 1.3132
Be Pt Nd
2 4 2
Direct
0.2684 0.2239 0.5067
0.7316 0.7761 0.4933
0.5417 0.8557 0.2045
0.7588 0.4584 0.7869
0.4583 0.1443 0.7955
0.2412 0.5416 0.2131
0.1247 0.7707 0.7394
0.8753 0.2293 0.2606
```

Properties
ΔE to the lowest computed polymorph: 0.39 eV per formula unit
spin magnetization: 0.00 μB per cell
formation energy: -3.7 eV/f.u.

=====

[2]
Compound: NdBe2Pt5
Source: Alexandria via LeMat-Bulk
Functional: PBE-GGA
Structure: optimized geometry

Cell and atoms, written as POSCAR:
```
NdBe2Pt5
1.0
3.9173 0.0000 0.0000
1.9586 5.8525 0.5125
1.9586 1.5790 5.6587
Pt Be Nd
5 2 1
Direct
0.0000 0.5000 0.5000
0.3485 0.8563 0.4467
0.6515 0.5533 0.1437
0.6515 0.1437 0.5533
0.3485 0.4467 0.8563
0.2323 0.2677 0.2677
0.7677 0.7323 0.7323
0.0000 0.0000 0.0000
```

Properties
spin magnetization: 0.00 μB per cell
formation energy: -6.5 eV/f.u.

=====

[3]
Compound: Nd2BePt6
Source: Alexandria via LeMat-Bulk
Functional: PBE-GGA
Structure: optimized geometry

Cell and atoms, written as POSCAR:
```
Nd2BePt6
1.0
5.3567 0.0826 3.1482
1.8592 5.0243 3.1482
0.1335 0.0945 6.0698
Pt Nd Be
6 2 1
Direct
0.7566 0.2323 0.2423
0.7677 0.2434 0.7577
0.2381 0.2381 0.7505
0.7619 0.7619 0.2495
0.2323 0.7566 0.2423
0.2434 0.7677 0.7577
0.7506 0.7506 0.7617
0.2494 0.2494 0.2383
0.5000 0.5000 0.5000
```

Properties
spin magnetization: 0.00 μB per cell
formation energy: -8.5 eV/f.u.

=====

[4]
Compound: NdBe2Pt2
Source: Alexandria via LeMat-Bulk
Functional: PBE-GGA
Structure: optimized geometry

Cell and atoms, written as POSCAR:
```
NdBe2Pt2
1.0
4.1068 0.0948 0.0000
-0.6124 4.0620 0.0000
0.0000 0.0000 9.8379
Pt Be Nd
4 4 2
Direct
0.2499 0.2499 0.1079
0.7501 0.7501 0.8921
0.2499 0.2499 0.3921
0.7501 0.7501 0.6079
0.2501 0.7499 0.5000
0.2501 0.7499 0.0000
0.7499 0.2501 0.5000
0.7499 0.2501 0.0000
0.2501 0.2501 0.7500
0.7499 0.7499 0.2500
```

Properties
ΔE to the lowest computed polymorph: 0.20 eV per formula unit
spin magnetization: 0.00 μB per cell
formation energy: -4.1 eV/f.u.

=====

[5]
Compound: NdBe2Pt2
Source: Alexandria via LeMat-Bulk
Functional: PBE-GGA
Structure: optimized geometry

Cell and atoms, written as POSCAR:
```
NdBe2Pt2
1.0
-1.0049 -0.5307 -3.9039
-1.3721 -3.7295 0.8602
-8.8301 3.6582 1.7756
Pt Be Nd
4 4 2
Direct
0.0000 0.0000 0.5000
0.5000 0.5000 0.5000
0.0000 0.5000 0.1232
0.5000 0.0000 0.8768
0.0000 0.0000 0.0000
0.5000 0.5000 0.0000
0.0000 0.5000 0.3779
0.5000 0.0000 0.6221
0.0000 0.5000 0.7513
0.5000 0.0000 0.2487
```

Properties
ΔE to the lowest computed polymorph: 0.00 eV per formula unit
spin magnetization: 0.00 μB per cell
formation energy: -4.3 eV/f.u.

=====

[6]
Compound: NdBe3Pt
Source: Alexandria via LeMat-Bulk
Functional: PBE-GGA
Structure: optimized geometry

Cell and atoms, written as POSCAR:
```
NdBe3Pt
1.0
-1.0965 1.8814 -3.7417
-3.8678 1.0287 1.6507
1.6064 3.7609 1.4203
Be Nd Pt
3 1 1
Direct
0.0000 0.0000 0.5000
0.0000 0.5000 0.0000
0.5000 0.0000 0.0000
0.5000 0.5000 0.5000
0.0000 0.0000 0.0000
```

Properties
spin magnetization: 0.00 μB per cell
formation energy: -1.8 eV/f.u.

=====

[7]
Compound: Nd2Be4Pt5
Source: Alexandria via LeMat-Bulk
Functional: PBE-GGA
Structure: optimized geometry

Cell and atoms, written as POSCAR:
```
Nd2Be4Pt5
1.0
0.0184 -0.3472 5.5309
4.1034 -2.5586 2.6021
3.4647 5.7336 3.1248
Be Nd Pt
4 2 5
Direct
0.5366 0.6717 0.2552
0.2083 0.3283 0.2552
0.7917 0.6717 0.7448
0.4634 0.3283 0.7448
0.8674 0.0000 0.2651
0.1326 0.0000 0.7349
0.0000 0.5000 0.0000
0.5000 0.0000 0.0000
0.7500 0.5000 0.5000
0.5000 0.5000 0.0000
0.2500 0.5000 0.5000
```

Properties
spin magnetization: 0.00 μB per cell
formation energy: -9.8 eV/f.u.

=====

[8]
Compound: NdBe3Pt5
Source: Alexandria via LeMat-Bulk
Functional: PBE-GGA
Structure: optimized geometry

Cell and atoms, written as POSCAR:
```
NdBe3Pt5
1.0
3.9078 0.0000 0.0000
-1.9539 5.9437 0.0000
0.0000 0.0000 12.2233
Pt Be Nd
10 6 2
Direct
0.0000 0.0000 0.5000
0.4422 0.8844 0.1447
0.2144 0.4289 0.5780
0.4422 0.8844 0.3553
0.7856 0.5711 0.0780
0.0000 0.0000 0.0000
0.5578 0.1156 0.8553
0.5578 0.1156 0.6447
0.7856 0.5711 0.4220
0.2144 0.4289 0.9220
0.3946 0.7892 0.9581
0.3946 0.7892 0.5419
0.6054 0.2108 0.0419
0.8766 0.7532 0.2500
0.6054 0.2108 0.4581
0.1234 0.2468 0.7500
0.1592 0.3184 0.2500
0.8408 0.6816 0.7500
```

Properties
spin magnetization: 0.00 μB per cell
formation energy: -6.1 eV/f.u.

=====

[9]
Compound: NdBe4Pt4
Source: Alexandria via LeMat-Bulk
Functional: PBE-GGA
Structure: optimized geometry

Cell and atoms, written as POSCAR:
```
NdBe4Pt4
1.0
4.4546 0.0000 0.0000
0.0000 7.7566 0.0000
0.0000 0.0000 7.7566
Be Nd Pt
8 2 8
Direct
0.9036 0.6577 0.1935
0.5964 0.8423 0.3065
0.0964 0.8065 0.6577
0.4036 0.6935 0.8423
0.4036 0.3065 0.1577
0.9036 0.3423 0.8065
0.5964 0.1577 0.6935
0.0964 0.1935 0.3423
0.5000 0.5000 0.5000
0.0000 0.0000 0.0000
0.3991 0.3633 0.8701
0.3991 0.6367 0.1299
0.1009 0.1367 0.6299
0.8991 0.3701 0.1367
0.8991 0.6299 0.8633
0.6009 0.8701 0.6367
0.6009 0.1299 0.3633
0.1009 0.8633 0.3701
```

Properties
spin magnetization: 0.00 μB per cell
formation energy: -6.6 eV/f.u.

=====

[10]
Compound: Nd2Be2Pt5
Source: Alexandria via LeMat-Bulk
Functional: PBE-GGA
Structure: optimized geometry

Cell and atoms, written as POSCAR:
```
Nd2Be2Pt5
1.0
4.1317 0.0000 0.0000
0.0000 4.1317 0.0000
0.0000 0.0000 9.1389
Pt Be Nd
5 2 2
Direct
0.0000 0.5000 0.2561
0.5000 0.5000 0.5000
0.5000 0.0000 0.7439
0.0000 0.5000 0.7439
0.5000 0.0000 0.2561
0.5000 0.5000 0.1432
0.5000 0.5000 0.8568
0.0000 0.0000 0.0000
0.0000 0.0000 0.5000
```

Properties
spin magnetization: 0.00 μB per cell
formation energy: -7.9 eV/f.u.

=====

[11]
Compound: NdBePt6
Source: Alexandria via LeMat-Bulk
Functional: PBE-GGA
Structure: optimized geometry

Cell and atoms, written as POSCAR:
```
NdBePt6
1.0
3.9517 0.0000 0.0000
0.0000 3.9517 0.0000
0.0000 0.0000 9.0294
Nd Pt Be
1 6 1
Direct
0.0000 0.0000 0.0000
0.5000 0.0000 0.3496
0.5000 0.0000 0.6504
0.5000 0.5000 0.8575
0.0000 0.5000 0.6504
0.5000 0.5000 0.1425
0.0000 0.5000 0.3496
0.0000 0.0000 0.5000
```

Properties
spin magnetization: 0.00 μB per cell
formation energy: -4.2 eV/f.u.

=====

[12]
Compound: NdBePt4
Source: Alexandria via LeMat-Bulk
Functional: PBE-GGA
Structure: optimized geometry

Cell and atoms, written as POSCAR:
```
NdBePt4
1.0
-2.5545 2.6853 1.3073
-5.0450 -4.5722 -0.4661
1.3286 -2.1890 7.0924
Be Pt Nd
2 8 2
Direct
0.0000 0.1900 0.7500
0.0000 0.8100 0.2500
0.0000 0.0000 0.5000
0.5000 0.0450 0.2500
0.0000 0.0000 0.0000
0.5000 0.3058 0.5630
0.5000 0.6942 0.4370
0.5000 0.3058 0.9370
0.5000 0.9550 0.7500
0.5000 0.6942 0.0630
0.0000 0.3807 0.2500
0.0000 0.6193 0.7500
```

Properties
spin magnetization: 0.00 μB per cell
formation energy: -4.7 eV/f.u.

=====

[13]
Compound: Nd2Be7Pt12
Source: Alexandria via LeMat-Bulk
Functional: PBE-GGA
Structure: optimized geometry

Cell and atoms, written as POSCAR:
```
Nd2Be7Pt12
1.0
-1.7013 -3.4535 -0.1685
7.3243 -3.3553 -5.1812
0.2320 -0.5808 9.5581
Pt Be Nd
12 7 2
Direct
0.5000 0.7183 0.1092
0.5000 0.2283 0.7968
0.5000 0.8908 0.6091
0.0000 0.4532 0.5146
0.0000 0.0614 0.5468
0.5000 0.3909 0.2817
0.0000 0.7751 0.7327
0.0000 0.2673 0.0423
0.0000 0.4854 0.9386
0.0000 0.9577 0.2249
0.5000 0.5685 0.7717
0.5000 0.2032 0.4315
0.5000 0.4356 0.0580
0.0000 0.7289 0.9539
0.0000 0.3333 0.6667
0.5000 0.6224 0.5644
0.0000 0.0461 0.7750
0.5000 0.9420 0.3776
0.0000 0.2250 0.2711
0.5000 0.0000 0.0000
0.0000 0.6667 0.3333
```

Properties
spin magnetization: 0.00 μB per cell
formation energy: -16.2 eV/f.u.

=====

[14]
Compound: Nd2ScBePt6
Source: Alexandria via LeMat-Bulk
Functional: PBE-GGA
Structure: optimized geometry

Cell and atoms, written as POSCAR:
```
Nd2ScBePt6
1.0
5.8410 0.0178 0.0095
-0.0240 7.4060 1.1323
2.8988 4.4789 5.2575
Pt Be Nd Sc
6 1 2 1
Direct
0.7377 0.2627 0.0426
0.7377 0.7810 0.5247
0.2623 0.2190 0.4753
0.7802 0.7373 0.9575
0.2623 0.7373 0.9574
0.2198 0.2627 0.0425
0.5000 0.5000 0.0000
0.2771 0.7233 0.4459
0.7230 0.2767 0.5541
0.0000 0.0000 0.0000
```

Properties
spin magnetization: 0.00 μB per cell
formation energy: -8.5 eV/f.u.

=====

[15]
Compound: NdScBe2Pt5
Source: Alexandria via LeMat-Bulk
Functional: PBE-GGA
Structure: optimized geometry

Cell and atoms, written as POSCAR:
```
NdScBe2Pt5
1.0
-2.7906 2.8745 0.6812
0.5975 -0.3685 4.0027
7.0742 6.9661 -0.4146
Be Sc Pt Nd
2 1 5 1
Direct
0.5000 0.5000 0.7215
0.5000 0.5000 0.2785
0.0000 0.0000 0.0000
0.0000 0.5000 0.1890
0.5000 0.0000 0.1890
0.0000 0.5000 0.8110
0.5000 0.5000 0.5000
0.5000 0.0000 0.8110
0.0000 0.0000 0.5000
```

Properties
spin magnetization: 0.00 μB per cell
formation energy: -6.9 eV/f.u.

=====

[16]
Compound: NdBeSiPt3
Source: Alexandria via LeMat-Bulk
Functional: PBE-GGA
Structure: optimized geometry

Cell and atoms, written as POSCAR:
```
NdBeSiPt3
1.0
-4.5469 3.2639 0.0616
-3.0846 -4.2258 -3.7757
-0.4138 -0.7016 6.6359
Si Be Nd Pt
2 2 2 6
Direct
0.7500 0.6208 0.2416
0.2500 0.3792 0.7584
0.7500 0.0149 0.0298
0.2500 0.9851 0.9702
0.2500 0.7260 0.4520
0.7500 0.2740 0.5480
0.2500 0.1809 0.3618
0.7500 0.8191 0.6382
0.0000 0.2770 0.0000
0.0000 0.7230 0.0000
0.5000 0.7230 0.0000
0.5000 0.2770 0.0000
```

Properties
final energy: -74.4 eV per cell
spin magnetization: 0.00 μB per cell

=====

[17]
Compound: NdBeSi2Pt
Source: Alexandria via LeMat-Bulk
Functional: PBE-GGA
Structure: optimized geometry

Cell and atoms, written as POSCAR:
```
NdBeSi2Pt
1.0
-0.9092 -0.4712 3.9104
0.2180 -4.0130 -0.4329
5.3220 2.3858 -0.5644
Pt Si Be Nd
1 2 1 1
Direct
0.2500 0.7500 0.5000
0.6192 0.6192 0.2385
0.3808 0.3808 0.7615
0.7500 0.2500 0.5000
0.0000 0.0000 0.0000
```

Properties
final energy: -29.4 eV per cell
spin magnetization: 0.00 μB per cell

=====

[18]
Compound: Nd2BeSi3Pt4
Source: Alexandria via LeMat-Bulk
Functional: PBE-GGA
Structure: optimized geometry

Cell and atoms, written as POSCAR:
```
Nd2BeSi3Pt4
1.0
-0.2418 -4.1445 0.7959
4.2178 -0.2639 -0.0928
0.3285 1.8414 9.6892
Be Pt Nd Si
1 4 2 3
Direct
0.5000 0.5000 0.5000
0.0000 0.0000 0.0000
0.5000 0.5000 0.0000
0.0000 0.5000 0.3797
0.5000 0.0000 0.6203
0.0000 0.5000 0.7410
0.5000 0.0000 0.2590
0.5000 0.0000 0.8648
0.0000 0.5000 0.1352
0.0000 0.0000 0.5000
```

Properties
final energy: -64.3 eV per cell
spin magnetization: 0.00 μB per cell

=====

[19]
Compound: Nd3Be2SnPt9
Source: Alexandria via LeMat-Bulk
Functional: PBE-GGA
Structure: optimized geometry

Cell and atoms, written as POSCAR:
```
Nd3Be2SnPt9
1.0
-0.6910 1.0105 -5.8119
3.5029 -4.4259 1.8489
-7.5648 -6.0511 -0.1526
Pt Nd Be Sn
9 3 2 1
Direct
0.1620 0.3239 0.2820
0.6761 0.8380 0.2820
0.3239 0.1620 0.7180
0.8380 0.1620 0.7180
0.5000 0.5000 0.0000
0.5000 0.0000 0.0000
0.0000 0.5000 0.0000
0.1620 0.8380 0.2820
0.8380 0.6761 0.7180
0.0000 0.0000 0.0000
0.3333 0.6667 0.7056
0.6667 0.3333 0.2944
0.6667 0.3333 0.8526
0.3333 0.6667 0.1474
0.0000 0.0000 0.5000
```

Properties
spin magnetization: 0.00 μB per cell
formation energy: -11.6 eV/f.u.

=====

[20]
Compound: NdTiBePt2
Source: Alexandria via LeMat-Bulk
Functional: PBE-GGA
Structure: optimized geometry

Cell and atoms, written as POSCAR:
```
NdTiBePt2
1.0
-0.7367 -3.8092 0.8136
2.4191 0.2015 3.1340
-5.3968 3.4138 1.4392
Be Pt Ti Nd
1 2 1 1
Direct
0.7500 0.2500 0.5000
0.6189 0.6189 0.2377
0.3811 0.3811 0.7623
0.2500 0.7500 0.5000
0.0000 0.0000 0.0000
```

Properties
spin magnetization: 0.00 μB per cell
formation energy: -4.1 eV/f.u.

=====

[21]
Compound: Nd2Be2ZnPt5
Source: Alexandria via LeMat-Bulk
Functional: PBE-GGA
Structure: optimized geometry

Cell and atoms, written as POSCAR:
```
Nd2Be2ZnPt5
1.0
3.5483 0.0000 0.0000
0.0000 9.6865 0.0000
0.0000 0.0000 9.6865
Nd Be Zn Pt
4 4 2 10
Direct
0.0000 0.6794 0.1794
0.0000 0.8206 0.6794
0.0000 0.1794 0.3206
0.0000 0.3206 0.8206
0.0000 0.3821 0.1179
0.0000 0.1179 0.6179
0.0000 0.8821 0.3821
0.0000 0.6179 0.8821
0.0000 0.5000 0.5000
0.0000 0.0000 0.0000
0.5000 0.5000 0.0000
0.5000 0.4350 0.2852
0.5000 0.7852 0.9350
0.5000 0.5650 0.7148
0.5000 0.2852 0.5650
0.5000 0.2148 0.0650
0.5000 0.0650 0.7852
0.5000 0.0000 0.5000
0.5000 0.7148 0.4350
0.5000 0.9350 0.2148
```

Properties
spin magnetization: 0.00 μB per cell
formation energy: -8.5 eV/f.u.